EuHoMgSn: optimized geometry, PBE.

ΔH_f (0 K)   -149.8 kJ/mol of formula units
Uncorrected energy   -5.50 eV/atom

abc: 7.6358 7.6358 7.6358
angles: 90.00 90.00 90.00
With the nearest neighbours (Å) after each atom.
Space group F-43m (No. 216)
One atom of each set of equivalent atoms:
Eu  0.0000  0.0000  0.0000 [4 per cell]  4 Sn 3.31, 4 Mg 3.31
Ho  0.0000  0.0000  0.5000 [4 per cell]  4 Sn 3.31, 4 Mg 3.31
Mg  0.2500  0.2500  0.7500 [4 per cell]  4 Ho 3.31, 4 Eu 3.31
Sn  0.2500  0.2500  0.2500 [4 per cell]  4 Ho 3.31, 4 Eu 3.31

=====

Tb3Pr2Dy7: optimized geometry, PBE.

ΔH_f (0 K)   91.2 kJ/mol of formula units
Uncorrected energy   -4.56 eV/atom
Excess energy over the best structure of this formula in the dataset   0 meV/atom

abc: 6.3556 3.5296 17.5268
angles: 90.00 96.13 90.00
With the nearest neighbours (Å) after each atom.
Space group P2/m (No. 10)
One atom of each set of equivalent atoms:
Tb  0.0000  0.0000  0.0000 [1 per cell]  10 Dy 3.52-3.63, 2 Tb 3.53
Tb  0.0475  0.5000  0.6582 [2 per cell]  2 Tb 3.53, 7 Dy 3.61-3.74, 4 Pr 3.61-3.68
Pr  0.4421  0.0000  0.3269 [2 per cell]  5 Dy 3.42-3.53, 2 Pr 3.53, 4 Tb 3.61-3.68
Dy  0.2248  0.5000  0.1627 [2 per cell]  7 Dy 3.50-3.65, 3 Tb 3.52-3.74, 2 Pr 3.53
Dy  0.2438  0.0000  0.5008 [2 per cell]  2 Dy 3.10-3.26, 2 Pr 3.42-3.44
Dy  0.2723  0.0000  0.8342 [2 per cell]  1 Pr 3.52, 8 Dy 3.53-3.65, 3 Tb 3.54-3.71
Dy  0.5000  0.5000  0.0000 [1 per cell]  8 Dy 3.50-3.57, 4 Tb 3.63

=====

Be2TlMo2: optimized geometry, PBE.

ΔH_f (0 K)   147.0 kJ/mol of formula units
Uncorrected energy   -5.99 eV/atom

abc: 6.3255 6.3255 3.3937
angles: 90.00 90.00 90.00
With the nearest neighbours (Å) after each atom.
Space group P4/mbm (No. 127)
One atom of each set of equivalent atoms:
Be  0.1131  0.3869  0.0000 [4 per cell]  1 Be 2.02
Tl  0.0000  0.0000  0.0000 [2 per cell]  4 Be 2.55
Mo  0.1705  0.6705  0.5000 [4 per cell]  6 Be 2.50-2.57

=====

LiV: optimized geometry, PBE.

ΔH_f (0 K)   237.2 kJ/mol of formula units
Uncorrected energy   -4.29 eV/atom
Excess energy over the best structure of this formula in the dataset   865 meV/atom

abc: 4.9466 4.9466 4.9466
angles: 90.00 90.00 90.00
With the nearest neighbours (Å) after each atom.
Space group Fm-3m (No. 225)
One atom of each set of equivalent atoms:
Li  0.0000  0.0000  0.0000 [4 per cell]  6 V 2.47
V  0.0000  0.0000  0.5000 [4 per cell]  6 Li 2.47

=====

Ce3PuGa2: optimized geometry, PBE.

ΔH_f (0 K)   -57.3 kJ/mol of formula units
Uncorrected energy   -6.46 eV/atom
Excess energy over the best structure of this formula in the dataset   69 meV/atom

abc: 6.8721 6.8721 21.9361
angles: 90.00 90.00 120.00
With the nearest neighbours (Å) after each atom.
Space group R-3c (No. 167, hexagonal axes)
One atom of each set of equivalent atoms:
Ce  0.0000  0.4115  0.2500 [18 per cell]  2 Pu 2.77
Pu  0.0000  0.0000  0.0000 [6 per cell]  6 Ce 2.77
Ga  0.0000  0.0000  0.1900 [12 per cell]  1 Ga 2.63

=====

K2GaTe: optimized geometry, PBE.

Raw formation energy   -0.195 eV per atom
Uncorrected energy   -2.29 eV/atom
Excess energy over the best structure of this formula in the dataset   141 meV/atom

abc: 5.3111 5.3111 22.9456
angles: 90.00 90.00 90.00
With the nearest neighbours (Å) after each atom.
Space group I-42d (No. 122)
One atom of each set of equivalent atoms:
K  0.2401  0.2500  0.1250 [8 per cell]  2 Te 3.41, 2 Ga 3.45, 2 K 3.68
Ga  0.0000  0.0000  0.5000 [4 per cell]  4 K 3.45, 4 Te 3.76
Te  0.0000  0.0000  0.0000 [4 per cell]  4 K 3.41, 4 Ga 3.76